(1)
DFT (PBE) results for a relaxed structure of Be2HgBRh.

a b c (Å): 4.2311 5.1981 4.2311
angles (deg): 90.00 90.00 90.00
Element x y z (fractional)
Be (0.0000, 0.0000, 0.5000)
Be (0.5000, 0.0000, 0.0000)
B (0.5000, 0.5000, 0.5000)
Rh (0.0000, 0.5000, 0.0000)
Hg (0.0000, 0.0000, 0.0000)

Properties
The total energy comes out at -12.3 eV/cell. The total magnetization comes out at 0.0 μB per formula unit.

---

(2)
DFT (PBE) results for a relaxed structure of BeHgB2S.

a b c (Å): 3.5417 8.2420 3.5417
angles (deg): 90.00 90.00 90.00
Element x y z (fractional)
Be (0.0000, 0.0000, 0.0000)
S (0.5000, 0.5000, 0.5000)
B (0.0000, 0.0000, 0.5000)
B (0.5000, 0.0000, 0.0000)
Hg (0.0000, 0.5000, 0.0000)

Properties
The total energy comes out at -15.5 eV/cell. The uncorrected formation energy comes out at 1.195 eV/atom. The total magnetization comes out at 0.0 μB per formula unit.

---

(3)
DFT (PBE) results for a relaxed structure of BeHgBSb2.

a b c (Å): 5.1009 4.2549 5.1009
angles (deg): 90.00 90.00 90.00
Element x y z (fractional)
Sb (0.0000, 0.0000, 0.5000)
Sb (0.5000, 0.0000, 0.0000)
B (0.0000, 0.0000, 0.0000)
Hg (0.0000, 0.5000, 0.0000)
Be (0.5000, 0.5000, 0.5000)

Properties
The total energy comes out at -13.7 eV/cell. The uncorrected formation energy comes out at 1.052 eV/atom. The total magnetization comes out at 0.0 μB per formula unit.

---

(4)
DFT (PBE) results for a relaxed structure of Sc2BeHgB.

a b c (Å): 4.7725 4.7725 3.7159
angles (deg): 90.00 90.00 90.00
Element x y z (fractional)
Sc (0.0000, 0.5000, 0.0000)
Sc (0.5000, 0.0000, 0.0000)
Be (0.0000, 0.0000, 0.5000)
B (0.0000, 0.0000, 0.0000)
Hg (0.5000, 0.5000, 0.5000)

Properties
The total energy comes out at -24.5 eV/cell. The total magnetization comes out at 0.0 μB per formula unit.

---

(5)
DFT (PBE) results for a relaxed structure of BeSi2HgB.

a b c (Å): 4.4464 3.6761 4.4464
angles (deg): 90.00 90.00 90.00
Element x y z (fractional)
Be (0.0000, 0.5000, 0.0000)
Si (0.0000, 0.0000, 0.5000)
Si (0.5000, 0.0000, 0.0000)
B (0.0000, 0.0000, 0.0000)
Hg (0.5000, 0.5000, 0.5000)

Properties
The total energy comes out at -18.3 eV/cell. The uncorrected formation energy comes out at 0.643 eV/atom. The total magnetization comes out at 0.0 μB per formula unit.

---

(6)
DFT (PBE) results for a relaxed structure of HoBeB4.

a b c (Å): 3.3558 5.8703 5.8703
angles (deg): 104.12 90.00 90.00
Element x y z (fractional)
Ho (0.0000, 0.3018, 0.6982)
Ho (0.0000, 0.6982, 0.3018)
Be (0.0000, 0.8251, 0.8251)
Be (0.0000, 0.1749, 0.1749)
B (0.5000, 0.9343, 0.6209)
B (0.5000, 0.0657, 0.3791)
B (0.5000, 0.6209, 0.9343)
B (0.5000, 0.3791, 0.0657)
B (0.5000, 0.3749, 0.3749)
B (0.5000, 0.6251, 0.6251)
B (0.5000, 0.0899, 0.9101)
B (0.5000, 0.9101, 0.0899)

Properties
The total energy comes out at -75.5 eV/cell. The total magnetization comes out at 0.0 μB per formula unit.

---

no.,Fermi-level density of states (states/eV/atom)
1,0.69
2,0.28
3,0.61
4,0.68
5,0.32
6,0.17